Entry 1:
Material: PuCd2Au4
Method: DFT, PBE-GGA
State: optimized geometry

Output
Size of the total moment: 5.625 μB/f.u.
ΔE_f: -0.278 eV per atom
SG: Immm (71)

a = 4.787 Å, b = 3.111 Å, c = 10.152 Å
α = 98.81°, β = 103.64°, γ = 90.00°
Fractional positions:
Cd (0.800, 0.800, 0.600)
Cd (0.200, 0.200, 0.400)
Au (0.652, 0.652, 0.304)
Au (0.348, 0.348, 0.696)
Au (0.071, 0.571, 0.143)
Au (0.929, 0.429, 0.857)
Pu (0.500, 0.000, 0.000)


Entry 2:
Material: NaAcCd
Method: DFT, PBE-GGA
State: optimized geometry

Output
Size of the total moment: 0.000 μB/f.u.
ΔE_f: -0.052 eV per atom
SG: P-6m2 (187)
Excess energy over the best structure of this formula in the dataset: 0.0 meV/atom

a = 3.726 Å, b = 5.507 Å, c = 5.507 Å
α = 120.00°, β = 90.00°, γ = 90.00°
Fractional positions:
Na (0.500, 0.333, 0.667)
Ac (0.000, 0.000, 0.000)
Cd (0.500, 0.667, 0.333)


Entry 3:
Material: BeSb2As
Method: DFT, PBE-GGA
State: optimized geometry

Output
Size of the total moment: 0.000 μB/f.u.
SG: P4mm (99)
E_form (uncorrected): 177 meV per atom
Excess energy over the best structure of this formula in the dataset: 20.3 meV/atom

a = 3.153 Å, b = 3.153 Å, c = 9.211 Å
α = 90.00°, β = 90.00°, γ = 90.00°
Fractional positions:
Sb (0.000, 0.000, 0.960)
Sb (0.500, 0.500, 0.303)
As (0.000, 0.000, 0.667)
Be (0.500, 0.500, 0.570)


Entry 4:
Material: BiOs2W
Method: DFT, PBE-GGA
State: optimized geometry

Output
Size of the total moment: 0.000 μB/f.u.
ΔE_f: 1.330 eV per atom
SG: I-42d (122)

a = 5.917 Å, b = 5.917 Å, c = 7.181 Å
α = 65.67°, β = 65.67°, γ = 90.00°
Fractional positions:
Os (0.592, 0.125, 0.250)
Os (0.158, 0.625, 0.250)
Os (0.375, 0.408, 0.750)
Os (0.875, 0.842, 0.750)
Bi (0.000, 0.000, 0.000)
Bi (0.750, 0.250, 0.500)
W (0.500, 0.500, 0.000)
W (0.250, 0.750, 0.500)


Entry 5:
Material: Be2GaOs2
Method: DFT, PBE-GGA
State: optimized geometry

Output
Size of the total moment: 0.000 μB/f.u.
ΔE_f: -0.171 eV per atom
SG: P4/mbm (127)
Excess energy over the best structure of this formula in the dataset: 0.0 meV/atom

a = 6.101 Å, b = 6.101 Å, c = 3.060 Å
α = 90.00°, β = 90.00°, γ = 90.00°
Fractional positions:
Be (0.379, 0.879, 0.000)
Be (0.879, 0.621, 0.000)
Be (0.621, 0.121, 0.000)
Be (0.121, 0.379, 0.000)
Os (0.172, 0.672, 0.500)
Os (0.672, 0.828, 0.500)
Os (0.828, 0.328, 0.500)
Os (0.328, 0.172, 0.500)
Ga (0.000, 0.000, 0.000)
Ga (0.500, 0.500, 0.000)


Entry 6:
Material: NaFe2Sn2
Method: DFT, PBE-GGA
State: optimized geometry

Output
Size of the total moment: 4.182 μB/f.u.
ΔE_f: 0.283 eV per atom
SG: I4/mmm (139)
Excess energy over the best structure of this formula in the dataset: 126.5 meV/atom

a = 4.907 Å, b = 4.907 Å, c = 5.490 Å
α = 63.46°, β = 63.46°, γ = 90.00°
Fractional positions:
Na (0.000, 0.000, 0.000)
Sn (0.750, 0.250, 0.500)
Sn (0.250, 0.750, 0.500)
Fe (0.372, 0.372, 0.256)
Fe (0.628, 0.628, 0.744)


Question: What is the size of the total moment in the fifth record?
Answer: 0.000 μB/f.u.